Run A
A geometry-optimized TaRe2W structure, computed with PBEsol.

The total magnetization is 0.0 μB per cell.

It has space group P4/mmm (No. 123), with a = 4.439 Å, b = 4.439 Å, c = 3.149 Å, α = 90.00°, β = 90.00° and γ = 90.00°. The asymmetric unit holds Ta at (0.000, 0.000, 0.000), Re at (0.000, 0.500, 0.500) and W at (0.500, 0.500, 0.000).



Run B
A geometry-optimized TaRe2W structure, computed with PBEsol.

The total magnetization is 0.0 μB per cell.

It has space group R-3m (No. 166, hexagonal axes), with a = 2.8041 Å, b = 2.8041 Å, c = 27.6397 Å, α = 90.00°, β = 90.00° and γ = 120.00°. The asymmetric unit holds Ta at (0.0000, 0.0000, 0.0000), Re at (0.0000, 0.0000, 0.2471) and W at (0.0000, 0.0000, 0.5000).



Ordering by calculated energy gives the sequence run A, run B, with the first entry being the most stable.



Run A
A geometry-optimized YTa2Re structure, computed with PBEsol.

The total magnetization is 0.0 μB per cell.

It has space group Fm-3m (No. 225), with a = 6.598 Å, b = 6.598 Å, c = 6.598 Å, α = 90.00°, β = 90.00° and γ = 90.00°. The asymmetric unit holds Y at (0.000, 0.000, 0.000), Ta at (0.250, 0.250, 0.250) and Re at (0.000, 0.000, 0.500).



Run B
A geometry-optimized YTa2Re structure, computed with PBEsol.

The total magnetization is 0.0 μB per cell.

It has space group Cmmm (No. 65), with a = 3.229 Å, b = 4.800 Å, c = 9.656 Å, α = 90.00°, β = 90.00° and γ = 90.00°. The asymmetric unit holds Y at (0.000, 0.000, 0.000), Ta at (0.000, 0.500, 0.283) and Re at (0.000, 0.000, 0.500).



Run C
A geometry-optimized YTa2Re structure, computed with PBEsol.

The total magnetization is 0.0 μB per cell.

It has space group Immm (No. 71), with a = 3.215 Å, b = 4.865 Å, c = 9.651 Å, α = 90.00°, β = 90.00° and γ = 90.00°. The asymmetric unit holds Y at (0.000, 0.000, 0.000), Ta at (0.000, 0.500, 0.223) and Re at (0.000, 0.000, 0.500).



Ordering by calculated energy gives the sequence run C, run B, run A, with the first entry being the most stable.



Run A
A geometry-optimized Re3Tc structure, computed with PBEsol.

The total magnetization is 0.0 μB per cell.

It has space group Imm2 (No. 44), with a = 2.742 Å, b = 8.851 Å, c = 4.762 Å, α = 90.00°, β = 90.00° and γ = 90.00°. The asymmetric unit holds Re at (0.000, 0.000, 0.000), Re at (0.000, 0.249, 0.331) and Tc at (0.000, 0.500, 0.997).



Run B
A geometry-optimized Re3Tc structure, computed with PBEsol.

The total magnetization is 0.0 μB per cell.

It has space group Cmmm (No. 65), with a = 5.473 Å, b = 7.753 Å, c = 2.733 Å, α = 90.00°, β = 90.00° and γ = 90.00°. The asymmetric unit holds Re at (0.000, 0.000, 0.000), Re at (0.250, 0.250, 0.500) and Tc at (0.000, 0.500, 0.000).



Run C
A geometry-optimized Re3Tc structure, computed with PBEsol.

The total magnetization is 0.0 μB per cell.

It has space group P4/mmm (No. 123), with a = 2.732 Å, b = 2.732 Å, c = 7.765 Å, α = 90.00°, β = 90.00° and γ = 90.00°. The asymmetric unit holds Re at (0.000, 0.000, 0.000), Re at (0.500, 0.500, 0.251) and Tc at (0.000, 0.000, 0.500).



Ordering by calculated energy gives the sequence run A, run B, run C, with the first entry being the most stable.



Run A
A geometry-optimized Re3Tc structure, computed with PBEsol.

The total magnetization is 0.0 μB per cell.

It has space group P6_3/mmc (No. 194), with a = 5.4877 Å, b = 5.4877 Å, c = 4.4321 Å, α = 90.00°, β = 90.00° and γ = 120.00°. The asymmetric unit holds Re at (0.1666, 0.3331, 0.2500) and Tc at (0.3333, 0.6667, 0.7500).



Run B
A geometry-optimized Re3Tc structure, computed with PBEsol.

The total magnetization is 0.0 μB per cell.

It has space group Pm-3m (No. 221), with a = 3.871 Å, b = 3.871 Å, c = 3.871 Å, α = 90.00°, β = 90.00° and γ = 90.00°. The asymmetric unit holds Re at (0.000, 0.000, 0.500) and Tc at (0.500, 0.500, 0.500).



Ordering by calculated energy gives the sequence run A, run B, with the first entry being the most stable.



Run A
A geometry-optimized Re5Tc structure, computed with PBEsol.

The total magnetization is 0.0 μB per cell.

It has space group Cm (No. 8), with a = 10.065 Å, b = 2.749 Å, c = 6.502 Å, α = 90.00°, β = 104.78° and γ = 90.00°. The asymmetric unit holds Re at (0.000, 0.000, 0.000), Re at (0.055, 0.000, 0.610), Re at (0.221, 0.500, 0.945), Re at (0.332, 0.000, 0.666), Re at (0.388, 0.000, 0.278) and Tc at (0.166, 0.500, 0.334).



Run B
A geometry-optimized Re5Tc structure, computed with PBEsol.

The total magnetization is 0.0 μB per cell.

It has space group Cmmm (No. 65), with a = 3.873 Å, b = 11.620 Å, c = 3.879 Å, α = 90.00°, β = 90.00° and γ = 90.00°. The asymmetric unit holds Re at (0.000, 0.000, 0.000), Re at (0.000, 0.166, 0.500), Re at (0.000, 0.334, 0.000) and Tc at (0.000, 0.500, 0.500).



Ordering by calculated energy gives the sequence run A, run B, with the first entry being the most stable.



Run A
A geometry-optimized Re5Tc structure, computed with PBEsol.

The total magnetization is 0.0 μB per cell.

It has space group Amm2 (No. 38), with a = 4.429 Å, b = 2.749 Å, c = 14.287 Å, α = 90.00°, β = 90.00° and γ = 90.00°. The asymmetric unit holds Re at (0.000, 0.000, 0.000), Re at (0.000, 0.000, 0.332), Re at (0.500, 0.000, 0.111), Re at (0.500, 0.000, 0.444), Re at (0.500, 0.000, 0.777) and Tc at (0.000, 0.000, 0.666).



Run B
A geometry-optimized Re5Tc structure, computed with PBEsol.

The total magnetization is 0.0 μB per cell.

It has space group P4/mmm (No. 123), with a = 2.738 Å, b = 2.738 Å, c = 11.637 Å, α = 90.00°, β = 90.00° and γ = 90.00°. The asymmetric unit holds Re at (0.000, 0.000, 0.000), Re at (0.000, 0.000, 0.335), Re at (0.500, 0.500, 0.167) and Tc at (0.500, 0.500, 0.500).



Ordering by calculated energy gives the sequence run A, run B, with the first entry being the most stable.



Run A
A geometry-optimized ReTc3 structure, computed with PBEsol.

The total magnetization is 0.0 μB per cell.

It has space group Cmmm (No. 65), with a = 5.426 Å, b = 7.699 Å, c = 2.716 Å, α = 90.00°, β = 90.00° and γ = 90.00°. The asymmetric unit holds Re at (0.000, 0.000, 0.000), Tc at (0.000, 0.500, 0.000) and Tc at (0.250, 0.250, 0.500).



Run B
A geometry-optimized ReTc3 structure, computed with PBEsol.

The total magnetization is 0.0 μB per cell.

It has space group Imm2 (No. 44), with a = 2.728 Å, b = 8.755 Å, c = 4.730 Å, α = 90.00°, β = 90.00° and γ = 90.00°. The asymmetric unit holds Re at (0.000, 0.000, 0.000), Tc at (0.000, 0.249, 0.331) and Tc at (0.000, 0.500, 0.997).



Ordering by calculated energy gives the sequence run B, run A, with the first entry being the most stable.



Run A
A geometry-optimized ReTc3 structure, computed with PBEsol.

The total magnetization is 0.0 μB per cell.

It has space group P6_3/mmc (No. 194), with a = 5.4556 Å, b = 5.4556 Å, c = 4.3840 Å, α = 90.00°, β = 90.00° and γ = 120.00°. The asymmetric unit holds Re at (0.3333, 0.6667, 0.2500) and Tc at (0.1669, 0.3338, 0.7500).



Run B
A geometry-optimized ReTc3 structure, computed with PBEsol.

The total magnetization is 0.0 μB per cell.

It has space group Pmmm (No. 47), with a = 2.712 Å, b = 3.842 Å, c = 5.445 Å, α = 90.00°, β = 90.00° and γ = 90.00°. The asymmetric unit holds Re at (0.000, 0.000, 0.000), Tc at (0.000, 0.000, 0.500) and Tc at (0.500, 0.500, 0.252).



Run C
A geometry-optimized ReTc3 structure, computed with PBEsol.

The total magnetization is 0.0 μB per cell.

It has space group Pmmn (No. 59, origin choice 2), with a = 5.457 Å, b = 13.189 Å, c = 4.718 Å, α = 90.00°, β = 90.00° and γ = 90.00°. The asymmetric unit holds Re at (0.250, 0.084, 0.166), Re at (0.250, 0.750, 0.500), Tc at (0.000, 0.083, 0.667), Tc at (0.001, 0.750, 0.999), Tc at (0.250, 0.250, 0.500) and Tc at (0.250, 0.583, 0.834).



Ordering by calculated energy gives the sequence run A, run C, run B, with the first entry being the most stable.